Rb3BPt: relaxed, PBE.

Results
* raw total energy: -2.11 eV per atom
* formation energy: 1010 meV per atom

a = 6.3799 Å, b = 6.3799 Å, c = 6.3799 Å
α = 90.00°, β = 90.00°, γ = 90.00°
Closest atoms and distances in Å follow each position.
Space group Pm-3m (No. 221)
Asymmetric unit:
Rb (0.0000, 0.0000, 0.5000) (multiplicity 3)  2 Pt 3.19
B (0.5000, 0.5000, 0.5000) (multiplicity 1)  12 Rb 4.51
Pt (0.0000, 0.0000, 0.0000) (multiplicity 1)  6 Rb 3.19